Entry from OQMD: an optimized crystal structure of BaHgF4 (PBE-GGA).

The structure in extended XYZ format:
```
12
Lattice="-4.467 0.830 -3.879 -3.971 -0.223 4.525 -3.509 6.011 0.728" Properties=species:S:1:pos:R:3 pbc="T T T"
Ba -2.031 0.137 0.230
Ba -6.407 0.470 0.415
F -6.636 1.508 2.822
F -4.125 1.524 1.014
F -8.359 2.259 0.621
F -6.096 2.320 -1.400
F -5.851 4.298 2.773
F -3.589 4.359 0.752
F -7.823 5.095 0.359
F -5.311 5.110 -1.448
Hg -3.988 3.420 -1.576
Hg -3.740 2.894 2.626
```

Output
E: -4.241 eV per atom
Symmetry: C2/c, No. 15
Distance to the lowest polymorph of the same formula: 0 meV/atom